1.
GdZn4Pb, relaxed, DFT GGA-PBE; E_tot = -3.95 eV per atom; ΔH_f (0 K) = -134 meV per atom
1.0
-1.356 -3.545 -4.057
0.872 -5.446 0.664
-4.310 -3.444 0.646
Pb Zn Gd
1 4 1
direct
0.000 0.000 0.000 Pb
0.624 0.624 0.127 Zn
0.624 0.127 0.624 Zn
0.624 0.624 0.624 Zn
0.127 0.624 0.624 Zn
0.250 0.250 0.250 Gd



2.
K3P4Pd7, relaxed, DFT GGA-PBE; E_tot = -4.78 eV per atom; ΔH_f (0 K) = -400 meV per atom
1.0
-1.372 0.488 -3.626
5.218 -6.101 -4.901
-5.391 -6.547 -0.946
K P Pd
3 4 7
direct
0.285 0.211 0.219 K
0.715 0.789 0.781 K
0.000 0.500 0.500 K
0.641 0.526 0.193 P
0.359 0.474 0.807 P
0.904 0.902 0.289 P
0.096 0.098 0.711 P
0.318 0.916 0.448 Pd
0.481 0.223 0.816 Pd
0.819 0.414 0.949 Pd
0.682 0.084 0.552 Pd
0.181 0.586 0.051 Pd
0.000 0.000 0.000 Pd
0.519 0.777 0.184 Pd



3.
K2IN2, relaxed, DFT GGA-PBE; E_tot = -4.72 eV per atom; energy relative to the elements, uncorrected = -639.9 meV per atom
1.0
4.433 0.000 1.523
2.066 4.101 1.198
-0.361 0.128 8.264
K I N
2 1 2
direct
0.228 0.264 0.280 K
0.772 0.736 0.720 K
0.000 0.000 0.000 I
0.549 0.366 0.537 N
0.451 0.634 0.463 N



4.
Ce2TmThTe5, relaxed, DFT GGA-PBE; E_tot = -5.10 eV per atom; energy relative to the elements, uncorrected = -712.9 meV per atom
1.0
-1.843 -2.225 -4.592
-3.910 -2.521 2.790
-7.101 9.223 -1.619
Ce Tm Th Te
2 1 1 5
direct
0.500 0.500 0.324 Ce
0.500 0.500 0.676 Ce
0.000 0.000 0.500 Tm
0.000 0.000 0.000 Th
0.000 0.500 0.500 Te
0.500 0.000 0.500 Te
0.000 0.000 0.750 Te
0.000 0.000 0.250 Te
0.500 0.500 0.000 Te